A | # BeCd2Se PBE relaxed
data_BeCd2Se
_chemical_formula_sum 'Be1 Cd2 Se1'
_symmetry_space_group_name_H-M 'P 1'
_symmetry_Int_Tables_number 1
_cell_length_a 6.528
_cell_length_b 6.528
_cell_length_c 6.528
_cell_angle_alpha 146.21
_cell_angle_beta 146.21
_cell_angle_gamma 48.54
loop_
_symmetry_equiv_pos_as_xyz
'x,y,z'
loop_
_atom_site_label
_atom_site_fract_x
_atom_site_fract_y
_atom_site_fract_z
_atom_site_occupancy
Cd1 0.500 0.500 0.000 1
Cd2 0.000 0.000 0.000 1
Be1 0.750 0.250 0.500 1
Se1 0.250 0.750 0.500 1
# **ρ**: 6.1 g/cm3
# **Magnetic moment**: 0.00 μB per formula unit
# **Symmetry**: No. 139

***

B | # BeCd2Se PBE relaxed
data_BeCd2Se
_chemical_formula_sum 'Be1 Cd2 Se1'
_symmetry_space_group_name_H-M 'P 1'
_symmetry_Int_Tables_number 1
_cell_length_a 3.942
_cell_length_b 3.942
_cell_length_c 6.437
_cell_angle_alpha 70.55
_cell_angle_beta 70.55
_cell_angle_gamma 62.94
loop_
_symmetry_equiv_pos_as_xyz
'x,y,z'
loop_
_atom_site_label
_atom_site_fract_x
_atom_site_fract_y
_atom_site_fract_z
_atom_site_occupancy
Se1 0.250 0.250 0.250 1
Cd1 0.015 0.015 0.958 1
Cd2 0.485 0.485 0.542 1
Be1 0.750 0.750 0.750 1
# **ρ**: 6.3 g/cm3
# **Magnetic moment**: 0.00 μB per formula unit
# **Symmetry**: No. 12

***

What should be chosen as the most stable of them? Choose B.

***

A | # BeCd2Se PBE relaxed
data_BeCd2Se
_chemical_formula_sum 'Be2 Cd4 Se2'
_symmetry_space_group_name_H-M 'P 1'
_symmetry_Int_Tables_number 1
_cell_length_a 6.676
_cell_length_b 6.676
_cell_length_c 6.405
_cell_angle_alpha 58.59
_cell_angle_beta 58.59
_cell_angle_gamma 90.00
loop_
_symmetry_equiv_pos_as_xyz
'x,y,z'
loop_
_atom_site_label
_atom_site_fract_x
_atom_site_fract_y
_atom_site_fract_z
_atom_site_occupancy
Se1 0.750 0.250 0.500 1
Se2 0.000 0.000 0.000 1
Cd1 0.150 0.625 0.250 1
Cd2 0.600 0.125 0.250 1
Cd3 0.375 0.400 0.750 1
Cd4 0.875 0.850 0.750 1
Be1 0.500 0.500 0.000 1
Be2 0.250 0.750 0.500 1
# **ρ**: 5.4 g/cm3
# **Magnetic moment**: 0.00 μB per formula unit
# **Symmetry**: No. 122

***

B | # BeCd2Se PBE relaxed
data_BeCd2Se
_chemical_formula_sum 'Be1 Cd2 Se1'
_symmetry_space_group_name_H-M 'P 1'
_symmetry_Int_Tables_number 1
_cell_length_a 3.319
_cell_length_b 3.319
_cell_length_c 7.769
_cell_angle_alpha 90.00
_cell_angle_beta 90.00
_cell_angle_gamma 90.00
loop_
_symmetry_equiv_pos_as_xyz
'x,y,z'
loop_
_atom_site_label
_atom_site_fract_x
_atom_site_fract_y
_atom_site_fract_z
_atom_site_occupancy
Cd1 0.000 0.000 0.000 1
Cd2 0.500 0.500 0.266 1
Be1 0.500 0.500 0.591 1
Se1 0.000 0.000 0.643 1
# **ρ**: 6.1 g/cm3
# **Magnetic moment**: 0.00 μB per formula unit
# **Symmetry**: No. 99

***

C | # BeCd2Se PBE relaxed
data_BeCd2Se
_chemical_formula_sum 'Be1 Cd2 Se1'
_symmetry_space_group_name_H-M 'P 1'
_symmetry_Int_Tables_number 1
_cell_length_a 4.883
_cell_length_b 4.883
_cell_length_c 4.883
_cell_angle_alpha 60.00
_cell_angle_beta 60.00
_cell_angle_gamma 60.00
loop_
_symmetry_equiv_pos_as_xyz
'x,y,z'
loop_
_atom_site_label
_atom_site_fract_x
_atom_site_fract_y
_atom_site_fract_z
_atom_site_occupancy
Cd1 0.750 0.750 0.750 1
Cd2 0.000 0.000 0.000 1
Se1 0.250 0.250 0.250 1
Be1 0.500 0.500 0.500 1
# **ρ**: 6.3 g/cm3
# **Magnetic moment**: 0.00 μB per formula unit
# **Symmetry**: No. 216

***

D | # BeCd2Se PBE relaxed
data_BeCd2Se
_chemical_formula_sum 'Be1 Cd2 Se1'
_symmetry_space_group_name_H-M 'P 1'
_symmetry_Int_Tables_number 1
_cell_length_a 5.670
_cell_length_b 5.670
_cell_length_c 5.670
_cell_angle_alpha 145.67
_cell_angle_beta 113.08
_cell_angle_gamma 77.42
loop_
_symmetry_equiv_pos_as_xyz
'x,y,z'
loop_
_atom_site_label
_atom_site_fract_x
_atom_site_fract_y
_atom_site_fract_z
_atom_site_occupancy
Be1 0.723 0.223 0.500 1
Cd1 0.956 0.956 0.000 1
Cd2 0.242 0.742 0.500 1
Se1 0.579 0.579 0.000 1
# **ρ**: 5.6 g/cm3
# **Magnetic moment**: 0.00 μB per formula unit
# **Symmetry**: No. 44

***

What should be chosen as the most stable of them? Choose B.

***

A | # BeCd2Se PBE relaxed
data_BeCd2Se
_chemical_formula_sum 'Be1 Cd2 Se1'
_symmetry_space_group_name_H-M 'P 1'
_symmetry_Int_Tables_number 1
_cell_length_a 6.566
_cell_length_b 6.566
_cell_length_c 6.566
_cell_angle_alpha 146.17
_cell_angle_beta 146.17
_cell_angle_gamma 48.59
loop_
_symmetry_equiv_pos_as_xyz
'x,y,z'
loop_
_atom_site_label
_atom_site_fract_x
_atom_site_fract_y
_atom_site_fract_z
_atom_site_occupancy
Cd1 0.000 0.000 0.000 1
Cd2 0.250 0.750 0.500 1
Se1 0.500 0.500 0.000 1
Be1 0.750 0.250 0.500 1
# **ρ**: 5.9 g/cm3
# **Magnetic moment**: 0.00 μB per formula unit
# **Symmetry**: No. 119

***

B | # BeCd2Se PBE relaxed
data_BeCd2Se
_chemical_formula_sum 'Be1 Cd2 Se1'
_symmetry_space_group_name_H-M 'P 1'
_symmetry_Int_Tables_number 1
_cell_length_a 3.026
_cell_length_b 3.026
_cell_length_c 8.377
_cell_angle_alpha 90.00
_cell_angle_beta 90.00
_cell_angle_gamma 90.00
loop_
_symmetry_equiv_pos_as_xyz
'x,y,z'
loop_
_atom_site_label
_atom_site_fract_x
_atom_site_fract_y
_atom_site_fract_z
_atom_site_occupancy
Cd1 0.000 0.000 0.948 1
Cd2 0.000 0.000 0.552 1
Be1 0.500 0.500 0.750 1
Se1 0.500 0.500 0.250 1
# **ρ**: 6.8 g/cm3
# **Magnetic moment**: 0.00 μB per formula unit
# **Symmetry**: No. 123

***

What should be chosen as the most stable of them? Choose B.

***

A | # BeCd2Se PBE relaxed
data_BeCd2Se
_chemical_formula_sum 'Be1 Cd2 Se1'
_symmetry_space_group_name_H-M 'P 1'
_symmetry_Int_Tables_number 1
_cell_length_a 7.985
_cell_length_b 7.985
_cell_length_c 7.985
_cell_angle_alpha 24.94
_cell_angle_beta 24.94
_cell_angle_gamma 24.94
loop_
_symmetry_equiv_pos_as_xyz
'x,y,z'
loop_
_atom_site_label
_atom_site_fract_x
_atom_site_fract_y
_atom_site_fract_z
_atom_site_occupancy
Cd1 0.493 0.493 0.493 1
Cd2 0.007 0.007 0.007 1
Be1 0.750 0.750 0.750 1
Se1 0.250 0.250 0.250 1
# **ρ**: 6.5 g/cm3
# **Magnetic moment**: 0.00 μB per formula unit
# **Symmetry**: No. 166

***

B | # BeCd2Se PBE relaxed
data_BeCd2Se
_chemical_formula_sum 'Be1 Cd2 Se1'
_symmetry_space_group_name_H-M 'P 1'
_symmetry_Int_Tables_number 1
_cell_length_a 5.055
_cell_length_b 5.055
_cell_length_c 6.022
_cell_angle_alpha 85.95
_cell_angle_beta 85.95
_cell_angle_gamma 40.69
loop_
_symmetry_equiv_pos_as_xyz
'x,y,z'
loop_
_atom_site_label
_atom_site_fract_x
_atom_site_fract_y
_atom_site_fract_z
_atom_site_occupancy
Cd1 0.072 0.072 0.969 1
Cd2 0.349 0.349 0.142 1
Be1 0.793 0.793 0.799 1
Se1 0.287 0.287 0.590 1
# **ρ**: 5.2 g/cm3
# **Magnetic moment**: 0.00 μB per formula unit
# **Symmetry**: No. 8

***

C | # BeCd2Se PBE relaxed
data_BeCd2Se
_chemical_formula_sum 'Be1 Cd2 Se1'
_symmetry_space_group_name_H-M 'P 1'
_symmetry_Int_Tables_number 1
_cell_length_a 4.144
_cell_length_b 4.302
_cell_length_c 4.461
_cell_angle_alpha 90.00
_cell_angle_beta 90.00
_cell_angle_gamma 90.00
loop_
_symmetry_equiv_pos_as_xyz
'x,y,z'
loop_
_atom_site_label
_atom_site_fract_x
_atom_site_fract_y
_atom_site_fract_z
_atom_site_occupancy
Cd1 0.000 0.000 0.000 1
Cd2 0.500 0.500 0.000 1
Se1 0.500 0.000 0.500 1
Be1 0.000 0.500 0.500 1
# **ρ**: 6.5 g/cm3
# **Magnetic moment**: 0.00 μB per formula unit
# **Symmetry**: No. 47

***

D | # BeCd2Se PBE relaxed
data_BeCd2Se
_chemical_formula_sum 'Be1 Cd2 Se1'
_symmetry_space_group_name_H-M 'P 1'
_symmetry_Int_Tables_number 1
_cell_length_a 7.390
_cell_length_b 7.390
_cell_length_c 7.390
_cell_angle_alpha 154.60
_cell_angle_beta 152.58
_cell_angle_gamma 37.72
loop_
_symmetry_equiv_pos_as_xyz
'x,y,z'
loop_
_atom_site_label
_atom_site_fract_x
_atom_site_fract_y
_atom_site_fract_z
_atom_site_occupancy
Be1 0.750 0.250 0.500 1
Se1 0.250 0.750 0.500 1
Cd1 0.568 0.568 0.000 1
Cd2 0.932 0.932 0.000 1
# **ρ**: 6.5 g/cm3
# **Magnetic moment**: 0.00 μB per formula unit
# **Symmetry**: No. 71

***

What should be chosen as the most stable of them? Choose B.

***

A | # BeCdSe2 PBE relaxed
data_BeCdSe2
_chemical_formula_sum 'Be2 Cd2 Se4'
_symmetry_space_group_name_H-M 'P 1'
_symmetry_Int_Tables_number 1
_cell_length_a 3.919
_cell_length_b 6.592
_cell_length_c 7.070
_cell_angle_alpha 90.00
_cell_angle_beta 90.02
_cell_angle_gamma 90.00
loop_
_symmetry_equiv_pos_as_xyz
'x,y,z'
loop_
_atom_site_label
_atom_site_fract_x
_atom_site_fract_y
_atom_site_fract_z
_atom_site_occupancy
Se1 0.451 0.446 0.194 1
Se2 0.951 0.015 0.375 1
Se3 0.453 0.946 0.806 1
Se4 0.952 0.515 0.626 1
Be1 0.953 0.856 0.654 1
Be2 0.951 0.356 0.346 1
Cd1 0.451 0.850 0.173 1
Cd2 0.452 0.350 0.827 1
# **ρ**: 5.1 g/cm3
# **Magnetic moment**: 0.00 μB per formula unit
# **Symmetry**: No. 4

***

B | # BeCdSe2 PBE relaxed
data_BeCdSe2
_chemical_formula_sum 'Be1 Cd1 Se2'
_symmetry_space_group_name_H-M 'P 1'
_symmetry_Int_Tables_number 1
_cell_length_a 3.311
_cell_length_b 4.835
_cell_length_c 4.835
_cell_angle_alpha 90.00
_cell_angle_beta 90.00
_cell_angle_gamma 90.00
loop_
_symmetry_equiv_pos_as_xyz
'x,y,z'
loop_
_atom_site_label
_atom_site_fract_x
_atom_site_fract_y
_atom_site_fract_z
_atom_site_occupancy
Se1 0.000 0.000 0.000 1
Se2 0.000 0.500 0.500 1
Cd1 0.500 0.000 0.500 1
Be1 0.500 0.500 0.000 1
# **ρ**: 6.0 g/cm3
# **Magnetic moment**: 0.00 μB per formula unit
# **Symmetry**: No. 123

***

C | # BeCdSe2 PBE relaxed
data_BeCdSe2
_chemical_formula_sum 'Be1 Cd1 Se2'
_symmetry_space_group_name_H-M 'P 1'
_symmetry_Int_Tables_number 1
_cell_length_a 4.686
_cell_length_b 4.686
_cell_length_c 3.614
_cell_angle_alpha 90.00
_cell_angle_beta 90.00
_cell_angle_gamma 100.82
loop_
_symmetry_equiv_pos_as_xyz
'x,y,z'
loop_
_atom_site_label
_atom_site_fract_x
_atom_site_fract_y
_atom_site_fract_z
_atom_site_occupancy
Se1 0.000 0.000 0.000 1
Se2 0.500 0.500 0.000 1
Be1 0.500 0.000 0.500 1
Cd1 0.000 0.500 0.500 1
# **ρ**: 6.0 g/cm3
# **Magnetic moment**: 0.00 μB per formula unit
# **Symmetry**: No. 65

***

What should be chosen as the most stable of them? Choose A.